[1]
Computed, not measured: a geometry-optimized CdCoP2 structure at the PBE level of DFT.

Results
For the total DFT energy (no corrections), the calculation gives -4.02 eV/atom. As for the magnetic moment: 0.85 μB/f.u.

Cell: 4.428 4.428 4.428 Å, 60.00 60.00 60.00°
Last column: magnetic moment on the atom in μB.
Sites, in units of the cell vectors:
Cd1 0.500 0.500 0.500  -0.01
Co1 0.750 0.750 0.750  0.94
P1 0.000 0.000 0.000  -0.01
P2 0.250 0.250 0.250  0.02

[2]
Computed, not measured: a geometry-optimized CdCoP2 structure at the PBE level of DFT.

Results
For the total DFT energy (no corrections), the calculation gives -4.31 eV/atom. As for the magnetic moment: 0.00 μB/f.u.

Cell: 4.987 4.987 4.987 Å, 143.79 121.53 70.74°
Sites, in units of the cell vectors:
Cd1 0.497 0.497 0.000
Co1 0.206 0.706 0.500
P1 0.010 0.010 0.000
P2 0.787 0.287 0.500

[3]
Computed, not measured: a geometry-optimized CdCoP2 structure at the PBE level of DFT.

Results
For the total DFT energy (no corrections), the calculation gives -4.66 eV/atom. As for the magnetic moment: 0.37 μB/f.u.

Cell: 2.749 2.749 9.229 Å, 90.00 90.00 89.97°
Last column: magnetic moment on the atom in μB.
Sites, in units of the cell vectors:
Cd1 0.500 0.500 0.250  0.00
Co1 0.500 0.500 0.750  0.34
P1 0.000 0.000 0.902  0.01
P2 0.000 0.000 0.598  0.01

no.,ρ (g cm⁻³),formation energy from the elements (meV per atom)
1,6.31,688
2,6.31,405
3,5.55,48